Record 1
# HfRe2Bi2

Crystalline HfRe2Bi2 at its relaxed geometry (PBE, Alexandria via LeMat-Bulk).

The energy relative to the lowest polymorph listed for this composition comes out at 0 meV per atom. The formation energy comes out at 865 meV/atom.

The space group is I4/mmm (No. 139) and the conventional cell measures 3.533, 3.533 and 18.917 Å, with angles of 90.00, 90.00 and 90.00 degrees. The asymmetric unit holds Hf at (0.000, 0.000, 0.000), Re at (0.000, 0.500, 0.250) and Bi at (0.000, 0.000, 0.389).


Record 2
# Hf6BiRh

Crystalline Hf6BiRh at its relaxed geometry (PBE, Alexandria via LeMat-Bulk).

The formation energy comes out at 20 meV/atom.

The space group is C2/m (No. 12) and the conventional cell measures 6.719, 10.072 and 6.212 Å, with angles of 90.00, 122.39 and 90.00 degrees. The asymmetric unit holds Hf at (0.044, 0.000, 0.289), Hf at (0.235, 0.251, 0.741), Bi at (0.000, 0.500, 0.000) and Rh at (0.000, 0.500, 0.500).